VF5 | PBE with a Hubbard U | optimized geometry

Properties
- Fermi-level density of states: 0.00 states/eV per cell
- Total DFT energy (no corrections): -5.2481 eV per atom
- Total magnetization: 0.0 μB/f.u.

a b c (Å): 5.206 9.390 9.554
angles (deg): 90.00 119.31 90.00
Space group P2_1/c (No. 14)
Unique sites:
V: 0.013 0.121 0.123
F: 0.024 0.024 0.770
F: 0.044 0.241 0.989
F: 0.261 0.512 0.573
F: 0.273 0.716 0.376
F: 0.328 0.186 0.290